(1)
## KSnHg (GGA-PBE)

Data for crystalline KSnHg at its relaxed geometry.

a = 4.037 Å, b = 4.037 Å, c = 12.399 Å
α = 90.00°, β = 90.00°, γ = 90.00°
Atoms (fractional coordinates):
K (0.000, 0.000, 0.000)
K (0.500, 0.500, 0.500)
Sn (0.000, 0.000, 0.291)
Sn (0.500, 0.500, 0.791)
Hg (0.000, 0.000, 0.701)
Hg (0.500, 0.500, 0.201)

Results
M_tot (Bohr magnetons per cell): 0.0
ρ (g/cm³): 5.89
Calculated volume (Å³/cell): 202.0
DOS at the Fermi energy (states/eV/cell): 2.41
VASP energy (eV per atom): -1.898
Energy above the most stable polymorph in this dataset (eV/atom): 0.111
E_form (eV/atom): -0.098
Space group: I4mm, No. 107

(2)
## K2Sn4Hg5 (GGA-PBE)

Data for crystalline K2Sn4Hg5 at its relaxed geometry.

a = 7.357 Å, b = 7.357 Å, c = 9.583 Å
α = 122.34°, β = 122.34°, γ = 58.30°
Atoms (fractional coordinates):
K (0.056, 0.056, 0.264)
K (0.944, 0.944, 0.736)
Sn (0.301, 0.301, 0.055)
Sn (0.423, 0.423, 0.578)
Sn (0.577, 0.577, 0.422)
Sn (0.699, 0.699, 0.945)
Hg (0.013, 0.599, 0.307)
Hg (0.401, 0.987, 0.693)
Hg (0.500, 0.500, 0.000)
Hg (0.599, 0.013, 0.307)
Hg (0.987, 0.401, 0.693)

Results
M_tot (Bohr magnetons per cell): 0.0
ρ (g/cm³): 7.41
Calculated volume (Å³/cell): 348.9
DOS at the Fermi energy (states/eV/cell): 3.57
VASP energy (eV per atom): -1.870
E_form (eV/atom): -0.078
Space group: C2/m, No. 12